[1]
Rb2HgPbF6: optimized geometry, PBE.

## Properties
raw formation energy	-2244	meV per atom

Lattice parameters (Å, degrees): 9.471 9.471 9.471 90.00 90.00 90.00
Space group Fm-3m (No. 225)
Asymmetric unit:
1 Rb 0.250 0.250 0.250 x8
2 Hg 0.000 0.000 0.000 x4
3 Pb 0.000 0.000 0.500 x4
4 F 0.000 0.000 0.246 x24

=====

[2]
RbHgPbF2: optimized geometry, PBE.

## Properties
raw formation energy	-1454	meV per atom

Lattice parameters (Å, degrees): 4.962 4.962 6.235 90.00 90.00 90.00
Space group P4/mmm (No. 123)
Asymmetric unit:
1 Rb 0.000 0.000 0.000 x1
2 Hg 0.500 0.500 0.000 x1
3 Pb 0.500 0.500 0.500 x1
4 F 0.000 0.500 0.500 x2